1.
## Ga12Bi5Pd3 (PBE)

Data for an optimized crystal structure of Ga12Bi5Pd3.

M_tot = 0.00 μB per formula unit
E_form = -0.03 eV/atom

Lattice parameters (Å, degrees): 13.7856 13.7856 13.7856 109.47 109.47 109.47
Last column: nearest neighbours and their distance in Å.
Sites, in units of the cell vectors:
Ga (0.8620, 0.6107, 0.9429)  1 Pd 2.51, 1 Ga 2.69, 1 Bi 2.79
Ga (0.5808, 0.2487, 0.1380)  1 Pd 2.51, 1 Ga 2.69, 1 Bi 2.79
Ga (0.9429, 0.1107, 0.8620)  1 Pd 2.51, 1 Ga 2.69, 1 Bi 2.79
Ga (0.6107, 0.8620, 0.4429)  1 Pd 2.51, 1 Ga 2.69, 1 Bi 2.79
Ga (0.3322, 0.7513, 0.3893)  1 Pd 2.51, 1 Ga 2.69, 1 Bi 2.79
Ga (0.2513, 0.8620, 0.9192)  1 Pd 2.51, 1 Ga 2.69, 1 Bi 2.79
Ga (0.1107, 0.1678, 0.2487)  1 Pd 2.51, 1 Ga 2.69, 1 Bi 2.79
Ga (0.8893, 0.8322, 0.7513)  1 Pd 2.51, 1 Ga 2.69, 1 Bi 2.79
Ga (0.6107, 0.7487, 0.6678)  1 Pd 2.51, 1 Ga 2.69, 1 Bi 2.79
Ga (0.5571, 0.9192, 0.6678)  1 Pd 2.51, 1 Ga 2.69, 1 Bi 2.79
Ga (0.1380, 0.7487, 0.5808)  1 Pd 2.51, 1 Ga 2.69, 1 Bi 2.79
Ga (0.2513, 0.3893, 0.8322)  1 Pd 2.51, 1 Ga 2.69, 1 Bi 2.79
Ga (0.7487, 0.6107, 0.1678)  1 Pd 2.51, 1 Ga 2.69, 1 Bi 2.79
Ga (0.7487, 0.1380, 0.0808)  1 Pd 2.51, 1 Ga 2.69, 1 Bi 2.79
Ga (0.6678, 0.2487, 0.6107)  1 Pd 2.51, 1 Ga 2.69, 1 Bi 2.79
Ga (0.0808, 0.4429, 0.8322)  1 Pd 2.51, 1 Ga 2.69, 1 Bi 2.79
Ga (0.1678, 0.0571, 0.9192)  1 Pd 2.51, 1 Ga 2.69, 1 Bi 2.79
Ga (0.8620, 0.2513, 0.4192)  1 Pd 2.51, 1 Ga 2.69, 1 Bi 2.79
Ga (0.4192, 0.6678, 0.0571)  1 Pd 2.51, 1 Ga 2.69, 1 Bi 2.79
Ga (0.9192, 0.3620, 0.2513)  1 Pd 2.51, 1 Ga 2.69, 1 Bi 2.79
Ga (0.3620, 0.4429, 0.1107)  1 Pd 2.51, 1 Ga 2.69, 1 Bi 2.79
Ga (0.0808, 0.6380, 0.7487)  1 Pd 2.51, 1 Ga 2.69, 1 Bi 2.79
Ga (0.1678, 0.1107, 0.7487)  1 Pd 2.51, 1 Ga 2.69, 1 Bi 2.79
Ga (0.9192, 0.5571, 0.1678)  1 Pd 2.51, 1 Ga 2.69, 1 Bi 2.79
Ga (0.7513, 0.4192, 0.3620)  1 Pd 2.51, 1 Ga 2.69, 1 Bi 2.79
Ga (0.4429, 0.3620, 0.6107)  1 Pd 2.51, 1 Ga 2.69, 1 Bi 2.79
Ga (0.3620, 0.9192, 0.7513)  1 Pd 2.51, 1 Ga 2.69, 1 Bi 2.79
Ga (0.8322, 0.9429, 0.0808)  1 Pd 2.51, 1 Ga 2.69, 1 Bi 2.79
Ga (0.8322, 0.8893, 0.2513)  1 Pd 2.51, 1 Ga 2.69, 1 Bi 2.79
Ga (0.5808, 0.3322, 0.9429)  1 Pd 2.51, 1 Ga 2.69, 1 Bi 2.79
Ga (0.1380, 0.3893, 0.0571)  1 Pd 2.51, 1 Ga 2.69, 1 Bi 2.79
Ga (0.5571, 0.6380, 0.3893)  1 Pd 2.51, 1 Ga 2.69, 1 Bi 2.79
Ga (0.0571, 0.8893, 0.1380)  1 Pd 2.51, 1 Ga 2.69, 1 Bi 2.79
Ga (0.4192, 0.7513, 0.8620)  1 Pd 2.51, 1 Ga 2.69, 1 Bi 2.79
Ga (0.1107, 0.9429, 0.3620)  1 Pd 2.51, 1 Ga 2.69, 1 Bi 2.79
Ga (0.2487, 0.5808, 0.6380)  1 Pd 2.51, 1 Ga 2.69, 1 Bi 2.79
Ga (0.6678, 0.4192, 0.5571)  1 Pd 2.51, 1 Ga 2.69, 1 Bi 2.79
Ga (0.8893, 0.0571, 0.6380)  1 Pd 2.51, 1 Ga 2.69, 1 Bi 2.79
Ga (0.0571, 0.1678, 0.4192)  1 Pd 2.51, 1 Ga 2.69, 1 Bi 2.79
Ga (0.6380, 0.5571, 0.8893)  1 Pd 2.51, 1 Ga 2.69, 1 Bi 2.79
Ga (0.3322, 0.5808, 0.4429)  1 Pd 2.51, 1 Ga 2.69, 1 Bi 2.79
Ga (0.2487, 0.6678, 0.1107)  1 Pd 2.51, 1 Ga 2.69, 1 Bi 2.79
Ga (0.4429, 0.0808, 0.3322)  1 Pd 2.51, 1 Ga 2.69, 1 Bi 2.79
Ga (0.6380, 0.0808, 0.2487)  1 Pd 2.51, 1 Ga 2.69, 1 Bi 2.79
Ga (0.9429, 0.8322, 0.5808)  1 Pd 2.51, 1 Ga 2.69, 1 Bi 2.79
Ga (0.3893, 0.2513, 0.3322)  1 Pd 2.51, 1 Ga 2.69, 1 Bi 2.79
Ga (0.3893, 0.1380, 0.5571)  1 Pd 2.51, 1 Ga 2.69, 1 Bi 2.79
Ga (0.7513, 0.3322, 0.8893)  1 Pd 2.51, 1 Ga 2.69, 1 Bi 2.79
Bi (0.6250, 0.8750, 0.2500)  4 Ga 2.79
Bi (0.2500, 0.8750, 0.1250)  4 Ga 2.79
Bi (0.0000, 0.5000, 0.0000)  6 Ga 2.88
Bi (0.5000, 0.5000, 0.5000)  6 Ga 2.88
Bi (0.8750, 0.2500, 0.6250)  4 Ga 2.79
Bi (0.0000, 0.0000, 0.5000)  6 Ga 2.88
Bi (0.6250, 0.7500, 0.8750)  4 Ga 2.79
Bi (0.3750, 0.1250, 0.7500)  4 Ga 2.79
Bi (0.1250, 0.7500, 0.3750)  4 Ga 2.79
Bi (0.1250, 0.3750, 0.2500)  4 Ga 2.79
Bi (0.0000, 0.5000, 0.5000)  6 Ga 2.88
Bi (0.5000, 0.5000, 0.0000)  6 Ga 2.88
Bi (0.5000, 0.0000, 0.0000)  6 Ga 2.88
Bi (0.3750, 0.2500, 0.1250)  4 Ga 2.79
Bi (0.7500, 0.1250, 0.8750)  4 Ga 2.79
Bi (0.0000, 0.0000, 0.0000)  6 Ga 2.88
Bi (0.5000, 0.0000, 0.5000)  6 Ga 2.88
Bi (0.2500, 0.3750, 0.6250)  4 Ga 2.79
Bi (0.7500, 0.6250, 0.3750)  4 Ga 2.79
Bi (0.8750, 0.6250, 0.7500)  4 Ga 2.79
Pd (0.6250, 0.3750, 0.7500)  4 Ga 2.51
Pd (0.6250, 0.2500, 0.3750)  4 Ga 2.51
Pd (0.7500, 0.3750, 0.1250)  4 Ga 2.51
Pd (0.2500, 0.6250, 0.8750)  4 Ga 2.51
Pd (0.3750, 0.6250, 0.2500)  4 Ga 2.51
Pd (0.7500, 0.8750, 0.6250)  4 Ga 2.51
Pd (0.3750, 0.7500, 0.6250)  4 Ga 2.51
Pd (0.1250, 0.2500, 0.8750)  4 Ga 2.51
Pd (0.8750, 0.7500, 0.1250)  4 Ga 2.51
Pd (0.8750, 0.1250, 0.2500)  4 Ga 2.51
Pd (0.1250, 0.8750, 0.7500)  4 Ga 2.51
Pd (0.2500, 0.1250, 0.3750)  4 Ga 2.51

***

2.
## Ga2BiPd8 (PBE)

Data for an optimized crystal structure of Ga2BiPd8.

E above lowest polymorph = 0.041 eV/atom
M_tot = 0.00 μB per formula unit
E_form = -0.38 eV/atom

Lattice parameters (Å, degrees): 4.4133 6.2614 7.5728 113.86 106.11 91.89
Last column: nearest neighbours and their distance in Å.
Sites, in units of the cell vectors:
Ga (0.7850, 0.6151, 0.2349)  8 Pd 2.54-2.80
Ga (0.4590, 0.2901, 0.5840)  8 Pd 2.55-2.81
Pd (0.6654, 0.2350, 0.9092)  2 Ga 2.54-2.55, 2 Pd 2.71-2.79
Pd (0.2930, 0.3591, 0.2358)  3 Ga 2.66-2.80, 1 Bi 2.74, 6 Pd 2.82-2.97
Pd (0.7626, 0.0043, 0.1722)  1 Ga 2.66, 6 Pd 2.75-2.97, 2 Bi 2.82
Pd (0.9210, 0.4486, 0.5042)  3 Ga 2.56-2.61, 6 Pd 2.75-2.85
Pd (0.1878, 0.4969, 0.9090)  1 Bi 2.69, 6 Pd 2.71-2.86, 2 Ga 2.89
Pd (0.3269, 0.8543, 0.3141)  3 Ga 2.56-2.61, 6 Pd 2.75-2.85
Pd (0.4981, 0.7414, 0.6453)  1 Ga 2.66, 6 Pd 2.75-2.97, 2 Bi 2.81-2.83
Pd (0.9669, 0.0320, 0.5823)  3 Ga 2.66-2.81, 1 Bi 2.74, 6 Pd 2.82-2.97
Bi (0.1344, 0.9233, 0.9090)  9 Pd 2.69-3.00